<i>
DFT (PBE-GGA) results for FeTcTe2 after structural relaxation.

- size of the total moment (μB/f.u.) = 2.518

```
FeTcTe2
1.0
3.813 0.000 0.000
0.000 3.812 -0.021
0.000 0.053 6.721
Fe Te Tc
1 2 1
direct
0.000 0.375 0.625
0.500 0.376 0.354
0.000 0.874 0.896
0.500 0.875 0.625
```

---

<ii>
DFT (PBE-GGA) results for FeTcTe2 after structural relaxation.

- size of the total moment (μB/f.u.) = 2.597

```
FeTcTe2
1.0
7.628 -0.174 0.024
6.049 4.652 -0.024
-6.760 -2.478 2.527
Te Fe Tc
2 1 1
direct
0.758 0.258 0.500
0.006 0.006 0.000
0.565 0.565 0.000
0.170 0.670 0.500
```

---

<i> is the most stable structure shown above.